(1)
Density functional theory data (meta-GGA SCAN) for a PBEsol-optimized structure of SrSe3.

The structure belongs to space group C2/m (No. 12); the cell edges are 10.762, 4.223 and 4.375 Å and the angles 90.00°, 90.76° and 90.00°. The distinct sites, in fractional coordinates, are Sr at (0.000, 0.000, 0.000), Se at (0.000, 0.500, 0.500) and Se at (0.226, 0.500, 0.250).

The volume comes out at 24.852 Å³ per atom. The calculation puts the formation energy (no corrections) at -0.888 eV/atom.



(2)
Density functional theory data (meta-GGA SCAN) for a PBEsol-optimized structure of SrSe2.

The structure belongs to space group Pnma (No. 62); the cell edges are 7.334, 4.022 and 10.330 Å and the angles 90.00°, 90.00° and 90.00°. The distinct sites, in fractional coordinates, are Sr at (0.182, 0.250, 0.149), Se at (0.099, 0.250, 0.457) and Se at (0.139, 0.250, 0.843).

The volume comes out at 25.394 Å³ per atom. The calculation puts the formation energy (no corrections) at -1.473 eV/atom.



(3)
Density functional theory data (meta-GGA SCAN) for a PBEsol-optimized structure of SrSe.

The structure belongs to space group F-43m (No. 216); the cell edges are 6.860, 6.860 and 6.860 Å and the angles 90.00°, 90.00° and 90.00°. The distinct sites, in fractional coordinates, are Sr at (0.000, 0.000, 0.000) and Se at (0.250, 0.250, 0.250).

The volume comes out at 40.352 Å³ per atom. The calculation puts the formation energy (no corrections) at -1.999 eV/atom.



(4)
Density functional theory data (meta-GGA SCAN) for a PBEsol-optimized structure of SrSe3.

The structure belongs to space group P-6m2 (No. 187); the cell edges are 4.9747, 4.9747 and 5.9240 Å and the angles 90.00°, 90.00° and 120.00°. The distinct sites, in fractional coordinates, are Sr at (0.0000, 0.0000, 0.0000), Se at (0.0000, 0.0000, 0.5000) and Se at (0.6667, 0.3333, 0.2039).

The volume comes out at 31.741 Å³ per atom. The calculation puts the formation energy (no corrections) at -0.654 eV/atom.